In8Pb: relaxed, PBE.

abc: 10.8182 10.8182 4.2871
angles: 90.00 90.00 90.00
Space group I4/mmm (No. 139)
Unique sites:
In: 0.0000 0.3338 0.0000
In: 0.1691 0.1691 0.5000
Pb: 0.0000 0.0000 0.0000

Properties
E_tot = -50.9 eV per cell
Calculated formation energy = 0.02 eV per atom

=====

InPb: relaxed, PBE.

abc: 4.5274 5.2597 4.9715
angles: 90.00 90.00 90.00
Space group Cmmm (No. 65)
Unique sites:
In: 0.0000 0.0000 0.0000
Pb: 0.0000 0.5000 0.5000

Properties
E_tot = -12.8 eV per cell
Calculated formation energy = 0.02 eV per atom

=====

In2Pb: relaxed, PBE.

abc: 12.2498 3.4393 8.6541
angles: 90.00 108.83 90.00
Space group Cm (No. 8)
Unique sites:
In: 0.0000 0.0000 0.0000
In: 0.0358 0.0000 0.5603
In: 0.1966 0.5000 0.9024
In: 0.3783 0.0000 0.2263
Pb: 0.1752 0.5000 0.3271
Pb: 0.3364 0.0000 0.6758

Properties
E_tot = -36.5 eV per cell
Energy above the most stable polymorph in this dataset = 0.02 eV per formula unit
Calculated formation energy = 0.02 eV per atom

=====

In4Pb5: relaxed, PBE.

abc: 12.7369 12.7369 3.3747
angles: 90.00 90.00 90.00
Space group I4/m (No. 87)
Unique sites:
In: 0.1578 0.1908 0.0000
Pb: 0.0000 0.0000 0.0000
Pb: 0.0289 0.6669 0.5000

Properties
E_tot = -57.8 eV per cell
Energy above the most stable polymorph in this dataset = 0.23 eV per formula unit
Calculated formation energy = 0.06 eV per atom

=====

InPb: relaxed, PBE.

abc: 6.3105 6.3105 6.3105
angles: 90.00 90.00 90.00
Space group Fm-3m (No. 225)
Unique sites:
In: 0.0000 0.0000 0.0000
Pb: 0.0000 0.0000 0.5000

Properties
E_tot = -24.6 eV per cell
Calculated formation energy = 0.15 eV per atom

=====

In2Pb: relaxed, PBE.

abc: 12.0862 3.4807 8.6496
angles: 90.00 109.28 90.00
Space group C2/m (No. 12)
Unique sites:
In: 0.0247 0.0000 0.2606
In: 0.1526 0.5000 0.0459
Pb: 0.1683 0.5000 0.6080

Properties
E_tot = -36.6 eV per cell
Energy above the most stable polymorph in this dataset = 0.00 eV per formula unit
Calculated formation energy = 0.01 eV per atom

=====

In11Pb4: relaxed, PBE.

abc: 11.8662 11.8662 6.1364
angles: 90.00 90.00 90.00
Space group P4_2/mnm (No. 136)
Unique sites:
In: 0.0000 0.0000 0.0000
In: 0.0685 0.2610 0.0000
In: 0.0942 0.0942 0.5000
In: 0.1814 0.8186 0.2509
Pb: 0.0432 0.3642 0.5000

Properties
E_tot = -88.6 eV per cell
Calculated formation energy = 0.04 eV per atom

=====

In17Pb12: relaxed, PBE.

abc: 12.0361 12.0361 12.0361
angles: 90.00 90.00 90.00
Space group I-43m (No. 217)
Unique sites:
In: 0.0000 0.0000 0.0000
In: 0.0530 0.3632 0.3632
In: 0.1734 0.1734 0.8266
Pb: 0.0961 0.0961 0.2926

Properties
E_tot = -179.3 eV per cell
Calculated formation energy = 0.05 eV per atom

=====

InPb3: relaxed, PBE.

abc: 7.9135 7.9135 7.9135
angles: 90.00 90.00 90.00
Space group Fm-3m (No. 225)
Unique sites:
In: 0.0000 0.0000 0.0000
Pb: 0.0000 0.0000 0.5000
Pb: 0.2500 0.2500 0.2500

Properties
E_tot = -54.7 eV per cell
Calculated formation energy = 0.05 eV per atom

=====

InPb: relaxed, PBE.

abc: 9.7512 9.7512 4.4764
angles: 90.00 90.00 120.00
Space group P6_3/mmc (No. 194)
Unique sites:
In: 0.1228 0.5614 0.2500
Pb: 0.1511 0.3021 0.7500

Properties
E_tot = -37.7 eV per cell
Calculated formation energy = 0.08 eV per atom

=====

InPb: relaxed, PBE.

abc: 11.4515 3.5044 9.7401
angles: 90.00 115.14 90.00
Space group Cm (No. 8)
Unique sites:
In: 0.0000 0.0000 0.0000
In: 0.0048 0.0000 0.4940
In: 0.1654 0.5000 0.3275
Pb: 0.1684 0.5000 0.8298
Pb: 0.3340 0.0000 0.1683
Pb: 0.3361 0.0000 0.6584

Properties
E_tot = -38.6 eV per cell
Calculated formation energy = 0.01 eV per atom

=====

InPb3: relaxed, PBE.

abc: 5.8866 5.8866 5.8866
angles: 90.00 90.00 90.00
Space group Pm-3m (No. 221)
Unique sites:
In: 0.0000 0.0000 0.0000
Pb: 0.0000 0.0000 0.5000

Properties
E_tot = -11.3 eV per cell
Calculated formation energy = 0.64 eV per atom